# 1
A relaxed structure of Sr3AlTe2H6, computed with GGA-PBE.

The calculated volume comes out at 20.547 Å³/atom. As for the final energy: -3.35 eV/atom.

It has space group C2/m (No. 12), with a = 12.4368 Å, b = 6.9190 Å, c = 5.7411 Å, α = 90.00°, β = 93.44° and γ = 90.00°. The distinct sites, in fractional coordinates, are Sr at (0.0000, 0.0000, 0.0000), Sr at (0.2500, 0.2500, 0.5000), Al at (0.0000, 0.5000, 0.5000), Te at (0.2464, 0.5000, 0.0174), H at (0.0350, 0.2957, 0.3063) and H at (0.1327, 0.5000, 0.5797).

***

# 2
A relaxed structure of SrAl2HW, computed with GGA-PBE.

The calculated volume comes out at 28.133 Å³/atom. As for the final energy: -4.01 eV/atom.

It has space group P4/mmm (No. 123), with a = 4.8988 Å, b = 4.8988 Å, c = 5.8616 Å, α = 90.00°, β = 90.00° and γ = 90.00°. The distinct sites, in fractional coordinates, are Sr at (0.0000, 0.0000, 0.0000), Al at (0.0000, 0.5000, 0.5000), H at (0.5000, 0.5000, 0.0000) and W at (0.0000, 0.0000, 0.5000).